*1*
! Tm8CuNi2 (PBE, relaxed); values from VASP
&SYSTEM
  ibrav = 0, nat = 11, ntyp = 3
/
ATOMIC_SPECIES
Tm 168.93 Tm.upf
Cu 63.55 Cu.upf
Ni 58.69 Ni.upf
CELL_PARAMETERS angstrom
4.080 -6.194 0.000
4.080 6.194 0.000
-1.704 0.000 5.482
ATOMIC_POSITIONS crystal
Tm 0.000 0.000 0.000
Tm 0.029 0.291 0.581
Tm 0.142 0.590 0.185
Tm 0.291 0.029 0.581
Tm 0.445 0.707 0.777
Tm 0.590 0.142 0.185
Tm 0.707 0.445 0.777
Tm 0.735 0.735 0.370
Cu 0.366 0.366 0.336
Ni 0.059 0.678 0.683
Ni 0.678 0.059 0.683
! Magnetic moment in μB per atom: 0.000
! SG: Cm
! Crystal system: monoclinic

---

*2*
! Tm8CuNi2 (PBE, relaxed); values from VASP
&SYSTEM
  ibrav = 0, nat = 11, ntyp = 3
/
ATOMIC_SPECIES
Tm 168.93 Tm.upf
Cu 63.55 Cu.upf
Ni 58.69 Ni.upf
CELL_PARAMETERS angstrom
8.501 -2.457 0.000
8.501 2.457 0.000
-1.803 0.000 6.312
ATOMIC_POSITIONS crystal
Tm 0.036 0.036 0.283
Tm 0.202 0.202 0.830
Tm 0.328 0.328 0.518
Tm 0.407 0.407 0.038
Tm 0.593 0.593 0.962
Tm 0.672 0.672 0.482
Tm 0.798 0.798 0.170
Tm 0.964 0.964 0.717
Cu 0.500 0.500 0.500
Ni 0.186 0.186 0.223
Ni 0.814 0.814 0.777
! Magnetic moment in μB per atom: 0.000
! SG: C2/m
! Crystal system: monoclinic

---

We find *2* to be the most stable, with the next structure 0.101 eV/atom higher.